[1]
VASP calculation (PBE-GGA) on a geometry-optimized CoTe3 structure.

```
data_CoTe3
_cell_length_a 6.168
_cell_length_b 11.058
_cell_length_c 5.912
_cell_angle_alpha 90.00
_cell_angle_beta 90.00
_cell_angle_gamma 90.00
_symmetry_space_group_name_H-M 'P n m a'
_symmetry_Int_Tables_number 62
_symmetry_space_group_name_Hall '-P 2ac 2n'
loop_
_atom_site_label
_atom_site_type_symbol
_atom_site_fract_x
_atom_site_fract_y
_atom_site_fract_z
_atom_site_occupancy
Co1 Co 0.042 0.250 0.056 1
Te1 Te 0.093 0.750 0.345 1
Te2 Te 0.222 0.102 0.349 1
```

The uncorrected formation energy comes out at 79 meV per atom.

---

[2]
VASP calculation (PBE-GGA) on a geometry-optimized Co2Te structure.

```
data_Co2Te
_cell_length_a 5.908
_cell_length_b 5.908
_cell_length_c 5.908
_cell_angle_alpha 90.00
_cell_angle_beta 90.00
_cell_angle_gamma 90.00
_symmetry_space_group_name_H-M 'P a -3'
_symmetry_Int_Tables_number 205
_symmetry_space_group_name_Hall '-P 2ac 2ab 3'
loop_
_atom_site_label
_atom_site_type_symbol
_atom_site_fract_x
_atom_site_fract_y
_atom_site_fract_z
_atom_site_occupancy
Co1 Co 0.111 0.111 0.111 1
Te1 Te 0.000 0.000 0.500 1
```

The uncorrected formation energy comes out at 624 meV per atom. The calculation puts the energy above the most stable polymorph in this dataset at 662 meV/atom.

---

[3]
VASP calculation (PBE-GGA) on a geometry-optimized CoTe4 structure.

```
data_CoTe4
_cell_length_a 5.067
_cell_length_b 7.719
_cell_length_c 7.051
_cell_angle_alpha 90.00
_cell_angle_beta 90.41
_cell_angle_gamma 90.00
_symmetry_space_group_name_H-M 'P 1 2/c 1'
_symmetry_Int_Tables_number 13
_symmetry_space_group_name_Hall '-P 2yc'
loop_
_atom_site_label
_atom_site_type_symbol
_atom_site_fract_x
_atom_site_fract_y
_atom_site_fract_z
_atom_site_occupancy
Co1 Co 0.000 0.117 0.250 1
Te1 Te 0.263 0.380 0.135 1
Te2 Te 0.268 0.105 0.559 1
```

The uncorrected formation energy comes out at -48 meV per atom. The calculation puts the energy above the most stable polymorph in this dataset at 0 meV/atom.

---

[4]
VASP calculation (PBE-GGA) on a geometry-optimized Co2Te structure.

```
data_Co2Te
_cell_length_a 4.940
_cell_length_b 4.940
_cell_length_c 7.653
_cell_angle_alpha 90.00
_cell_angle_beta 90.00
_cell_angle_gamma 90.00
_symmetry_space_group_name_H-M 'I 4/m c m'
_symmetry_Int_Tables_number 140
_symmetry_space_group_name_Hall '-I 4 2c'
loop_
_atom_site_label
_atom_site_type_symbol
_atom_site_fract_x
_atom_site_fract_y
_atom_site_fract_z
_atom_site_occupancy
Co1 Co 0.175 0.325 0.000 1
Te1 Te 0.000 0.000 0.250 1
```

The uncorrected formation energy comes out at 289 meV per atom. The calculation puts the energy above the most stable polymorph in this dataset at 327 meV/atom.

---

| no. | DFT total energy (eV/atom) |
| --- | --- |
| 1 | -4.05 |
| 2 | -5.16 |
| 3 | -3.98 |
| 4 | -5.50 |